[1]
Material: YHfCuW2
Method: DFT, GGA-PBE
State: relaxed

As for the energy of formation from the pure elements: 1.16 eV per atom.

Cell: 4.7327 4.7327 4.7452 Å, 90.00 90.00 90.00°
Sites, in units of the cell vectors:
Y 0.0000 0.0000 0.0000
Hf 0.5000 0.5000 0.0000
Cu 0.5000 0.5000 0.5000
W 0.0000 0.5000 0.5000
W 0.5000 0.0000 0.5000


[2]
Material: Tb5TlSi2
Method: DFT, GGA-PBE
State: relaxed

Its electronic total energy is -5.12 eV/atom.

Cell: 8.9201 8.9201 8.9201 Å, 128.80 128.80 75.33°
Sites, in units of the cell vectors:
Tb 0.0000 0.0000 0.0000
Tb 0.0295 0.5295 0.8369
Tb 0.1926 0.0295 0.5000
Tb 0.3074 0.8074 0.8369
Tb 0.4705 0.3074 0.5000
Tb 0.5000 0.5000 0.0000
Tb 0.5295 0.6926 0.5000
Tb 0.6926 0.1926 0.1631
Tb 0.8074 0.9705 0.5000
Tb 0.9705 0.4705 0.1631
Tl 0.2500 0.2500 0.0000
Tl 0.7500 0.7500 0.0000
Si 0.1279 0.3721 0.5000
Si 0.3721 0.8721 0.2442
Si 0.6279 0.1279 0.7558
Si 0.8721 0.6279 0.5000


[3]
Material: Na2MnTe2
Method: DFT, GGA-PBE
State: relaxed

Its electronic total energy is -4.02 eV/atom.

Cell: 7.7702 7.7702 4.6357 Å, 90.00 90.00 90.00°
Sites, in units of the cell vectors:
Na 0.1384 0.3616 0.0000
Na 0.3616 0.8616 0.0000
Na 0.6384 0.1384 0.0000
Na 0.8616 0.6384 0.0000
Mn 0.0000 0.0000 0.5000
Mn 0.5000 0.5000 0.5000
Te 0.1779 0.6779 0.5000
Te 0.3221 0.1779 0.5000
Te 0.6779 0.8221 0.5000
Te 0.8221 0.3221 0.5000


[4]
Material: La3PuAs4
Method: DFT, GGA-PBE
State: relaxed

As for the energy of formation from the pure elements: -1.41 eV per atom. As for the distance to the lowest polymorph of the same formula: 0 meV/atom.

Cell: 7.4757 8.6438 7.4806 Å, 90.00 109.51 90.00°
Sites, in units of the cell vectors:
La 0.0000 0.1246 0.2500
La 0.0000 0.3741 0.7500
La 0.0000 0.6259 0.2500
La 0.0000 0.8754 0.7500
La 0.5000 0.3745 0.2500
La 0.5000 0.6255 0.7500
Pu 0.5000 0.1241 0.7500
Pu 0.5000 0.8759 0.2500
As 0.2540 0.3693 0.5063
As 0.2540 0.6307 0.0063
As 0.2628 0.1184 0.9985
As 0.2628 0.8816 0.4985
As 0.7372 0.1184 0.5015
As 0.7372 0.8816 0.0015
As 0.7460 0.3693 0.9937
As 0.7460 0.6307 0.4937


[5]
Material: LaPrRu4
Method: DFT, GGA-PBE
State: relaxed

As for the energy of formation from the pure elements: -0.11 eV per atom.

Cell: 5.4513 5.4513 5.4513 Å, 60.00 60.00 60.00°
Sites, in units of the cell vectors:
La 0.0000 0.0000 0.0000
Pr 0.2500 0.2500 0.2500
Ru 0.1252 0.6249 0.6249
Ru 0.6249 0.1252 0.6249
Ru 0.6249 0.6249 0.1252
Ru 0.6249 0.6249 0.6249


[6]
Material: Pm6NdSm3Tm2
Method: DFT, GGA-PBE
State: relaxed

As for the energy of formation from the pure elements: 0.02 eV per atom.

Cell: 6.2751 6.2751 11.9839 Å, 95.01 95.01 119.99°
Sites, in units of the cell vectors:
Pm 0.0823 0.4168 0.7519
Pm 0.2487 0.2487 0.2479
Pm 0.4168 0.0823 0.7519
Pm 0.5832 0.9177 0.2481
Pm 0.7513 0.7513 0.7521
Pm 0.9177 0.5832 0.2481
Nd 0.5000 0.5000 0.0000
Sm 0.0000 0.0000 0.5000
Sm 0.3331 0.6669 0.5000
Sm 0.6669 0.3331 0.5000
Tm 0.1667 0.8333 0.0000
Tm 0.8333 0.1667 0.0000


[7]
Material: LaScCl3
Method: DFT, GGA-PBE
State: relaxed

As for the distance to the lowest polymorph of the same formula: 0 meV/atom.

Cell: 4.9206 4.9206 4.9206 Å, 90.00 90.00 90.00°
Sites, in units of the cell vectors:
La 0.0000 0.0000 0.0000
Sc 0.5000 0.5000 0.5000
Cl 0.0000 0.5000 0.5000
Cl 0.5000 0.0000 0.5000
Cl 0.5000 0.5000 0.0000


[8]
Material: NaSrPb2
Method: DFT, GGA-PBE
State: relaxed

As for the energy of formation from the pure elements: 0.06 eV per atom.

Cell: 7.3241 7.3241 7.3241 Å, 149.73 132.59 57.29°
Sites, in units of the cell vectors:
Na 0.0000 0.0000 0.0000
Sr 0.5000 0.5000 0.0000
Pb 0.2354 0.2354 0.0000
Pb 0.7646 0.7646 0.0000


| no. | D(E_F) (states/eV per cell) | spin magnetization (μB per formula unit) |
| --- | --- | --- |
| 1 | 9.12 | 0.0 |
| 2 | 12.16 | 0.0 |
| 3 | 4.54 | 4.5 |
| 4 | 27.05 | 4.9 |
| 5 | 9.05 | 0.0 |
| 6 | 15.99 | 0.0 |
| 7 | 6.18 | 0.0 |
| 8 | 2.58 | 0.0 |